Entry 1:
## CsScSi2 (SCAN)

Data for CsScSi2 at its PBEsol-relaxed geometry.

crystal system	cubic
calculated density	4.06	g cm⁻³
ΔE_f (raw)	739	meV per atom
E_tot	-17.281	eV/atom

```
data_CsScSi2
_chemical_formula_sum 'Cs4 Sc4 Si8'
_cell_length_a 7.261
_cell_length_b 7.261
_cell_length_c 7.261
_cell_angle_alpha 90.00
_cell_angle_beta 90.00
_cell_angle_gamma 90.00
_symmetry_space_group_name_H-M 'F m -3 m'
_symmetry_Int_Tables_number 225
_symmetry_space_group_name_Hall '-F 4 2 3'
loop_
_atom_site_label
_atom_site_type_symbol
_atom_site_fract_x
_atom_site_fract_y
_atom_site_fract_z
Cs1 Cs 0.000 0.000 0.000
Sc1 Sc 0.000 0.000 0.500
Si1 Si 0.250 0.250 0.250
```


Entry 2:
## CdSb2MoP (SCAN)

Data for CdSb2MoP at its PBEsol-relaxed geometry.

crystal system	tetragonal
calculated density	6.60	g cm⁻³
ΔE_f (raw)	829	meV per atom
E_tot	-29.215	eV/atom

```
data_CdSb2MoP
_chemical_formula_sum 'Cd1 Sb2 Mo1 P1'
_cell_length_a 5.211
_cell_length_b 5.211
_cell_length_c 4.471
_cell_angle_alpha 90.00
_cell_angle_beta 90.00
_cell_angle_gamma 90.00
_symmetry_space_group_name_H-M 'P 4/m m m'
_symmetry_Int_Tables_number 123
_symmetry_space_group_name_Hall '-P 4 2'
loop_
_atom_site_label
_atom_site_type_symbol
_atom_site_fract_x
_atom_site_fract_y
_atom_site_fract_z
Cd1 Cd 0.000 0.000 0.000
Sb1 Sb 0.000 0.500 0.500
Mo1 Mo 0.500 0.500 0.000
P1 P 0.500 0.500 0.500
```


Entry 3:
## ReBr2 (SCAN)

Data for ReBr2 at its PBEsol-relaxed geometry.

crystal system	orthorhombic
calculated density	8.81	g cm⁻³
ΔE_f (raw)	840	meV per atom
E_tot	-35.832	eV/atom

```
data_ReBr2
_chemical_formula_sum 'Re4 Br8'
_cell_length_a 3.195
_cell_length_b 25.642
_cell_length_c 3.183
_cell_angle_alpha 90.00
_cell_angle_beta 90.00
_cell_angle_gamma 90.00
_symmetry_space_group_name_H-M 'C m c m'
_symmetry_Int_Tables_number 63
_symmetry_space_group_name_Hall '-C 2c 2'
loop_
_atom_site_label
_atom_site_type_symbol
_atom_site_fract_x
_atom_site_fract_y
_atom_site_fract_z
Re1 Re 0.000 0.117 0.250
Br1 Br 0.000 0.308 0.750
Br2 Br 0.000 0.434 0.250
```


Entry 4:
## Mg2InGa2 (SCAN)

Data for Mg2InGa2 at its PBEsol-relaxed geometry.

crystal system	tetragonal
energy relative to the elements	-0.13	eV per atom
calculated density	5.01	g cm⁻³
E_tot	-15.336	eV/atom

```
data_Mg2InGa2
_chemical_formula_sum 'Mg4 In2 Ga4'
_cell_length_a 8.018
_cell_length_b 8.018
_cell_length_c 3.123
_cell_angle_alpha 90.00
_cell_angle_beta 90.00
_cell_angle_gamma 90.00
_symmetry_space_group_name_H-M 'P 4/m b m'
_symmetry_Int_Tables_number 127
_symmetry_space_group_name_Hall '-P 4 2ab'
loop_
_atom_site_label
_atom_site_type_symbol
_atom_site_fract_x
_atom_site_fract_y
_atom_site_fract_z
Mg1 Mg 0.181 0.319 0.000
In1 In 0.000 0.000 0.500
Ga1 Ga 0.116 0.616 0.500
```